A plane-wave DFT calculation with GGA-PBE was carried out for a geometry-optimized K2LiFe structure.

Cell lengths 9.3965, 9.3965, 9.3965 Å; angles 28.23, 28.23, 28.23 degrees
Fractional coordinates of all 4 atoms:
K: 0.0000 0.0000 0.0000
K: 0.1839 0.1839 0.1839
Li: 0.4252 0.4252 0.4252
Fe: 0.7590 0.7590 0.7590

## Properties
* V: 40.996 A^3/atom
* ΔH_f (0 K): 0.730 eV/atom
* uncorrected energy: -2.413 eV/atom
* ΔE to the lowest computed polymorph: 0.064 eV/atom
* DOS(E_F): 1.757 states/eV/atom
* space group: R3m, No. 160